DFT (PBE-GGA) results for a relaxed Nd2NpO6 crystal.

Lattice parameters (Å, degrees): 5.227 5.227 10.759 90.00 90.00 90.00
Site moments in Bohr magnetons follow the coordinates.
Positions (direct):
Nd (0.000, 0.000, 0.833)  -0.01
Nd (0.500, 0.500, 0.333)  -0.01
Nd (0.000, 0.000, 0.167)  -0.01
Nd (0.500, 0.500, 0.667)  -0.01
O (0.819, 0.181, 0.351)  -0.03
O (0.181, 0.819, 0.351)  -0.03
O (0.319, 0.319, 0.149)  -0.03
O (0.282, 0.282, 0.500)  -0.04
O (0.218, 0.782, 0.000)  -0.04
O (0.681, 0.681, 0.149)  -0.03
O (0.782, 0.218, 0.000)  -0.04
O (0.319, 0.319, 0.851)  -0.03
O (0.181, 0.819, 0.649)  -0.03
O (0.681, 0.681, 0.851)  -0.03
O (0.819, 0.181, 0.649)  -0.03
O (0.718, 0.718, 0.500)  -0.04
Np (0.500, 0.500, 0.000)  1.22
Np (0.000, 0.000, 0.500)  1.22

Output
E_form (uncorrected): -3.16 eV/atom
E above lowest polymorph: 0.011 eV per atom
size of the total moment: 1.000 μB/f.u.
calculated total energy: -8.965 eV per atom